# PBE+U CrPbO2, relaxed
data_CrPbO2
_symmetry_space_group_name_H-M 'P m n a'
_symmetry_Int_Tables_number 53
_symmetry_space_group_name_Hall '-P 2ac 2'
_cell_length_a 4.033
_cell_length_b 6.592
_cell_length_c 10.811
_cell_angle_alpha 90.00
_cell_angle_beta 90.00
_cell_angle_gamma 90.00
loop_
_atom_site_label
_atom_site_fract_x
_atom_site_fract_y
_atom_site_fract_z
Cr1 0.000 0.091 0.146
Pb1 0.000 0.301 0.610
O1 0.000 0.040 0.337
O2 0.000 0.225 0.979
# final energy = -104.180 eV/cell